(1)
Below is a relaxed PuZn2Ge crystal, with properties calculated at the GGA-PBE level.

Computed properties:
The calculation puts the total magnetic moment at 11.6 Bohr magnetons per cell. The uncorrected energy is -44.25 eV per cell. Its distance to the lowest polymorph of the same formula is 1.95 kcal/mol of atoms. The symmetry is P4/nmm.

a b c (Å): 3.991 3.991 10.030
angles (deg): 90.00 90.00 90.00
Fractional coordinates of all 8 atoms:
Pu: 0.500 0.000 0.232
Zn: 0.500 0.500 0.500
Ge: 0.000 0.500 0.331
Zn: 0.000 0.000 0.500
Zn: 0.000 0.500 0.063
Pu: 0.000 0.500 0.768
Ge: 0.500 0.000 0.669
Zn: 0.500 0.000 0.937

***

(2)
Below is a relaxed La2InSb4Pd3 crystal, with properties calculated at the GGA-PBE level.

Computed properties:
The calculation puts the total magnetic moment at 0.0 Bohr magnetons per cell. The uncorrected energy is -51.69 eV per cell. The symmetry is P-4m2. The formation energy without anion corrections comes out at -0.703 eV per atom.

a b c (Å): 4.772 4.772 10.881
angles (deg): 90.00 90.00 90.00
Fractional coordinates of all 10 atoms:
Pd: 0.000 0.500 0.118
Sb: 0.500 0.500 0.000
In: 0.500 0.500 0.500
Sb: 0.500 0.000 0.644
La: 0.500 0.000 0.239
La: 0.000 0.500 0.761
Sb: 0.000 0.000 0.000
Pd: 0.000 0.000 0.500
Pd: 0.500 0.000 0.882
Sb: 0.000 0.500 0.356

***

Copy entry 2 word for word.
Below is a relaxed La2InSb4Pd3 crystal, with properties calculated at the GGA-PBE level.

Computed properties:
The calculation puts the total magnetic moment at 0.0 Bohr magnetons per cell. The uncorrected energy is -51.69 eV per cell. The symmetry is P-4m2. The formation energy without anion corrections comes out at -0.703 eV per atom.

a b c (Å): 4.772 4.772 10.881
angles (deg): 90.00 90.00 90.00
Fractional coordinates of all 10 atoms:
Pd: 0.000 0.500 0.118
Sb: 0.500 0.500 0.000
In: 0.500 0.500 0.500
Sb: 0.500 0.000 0.644
La: 0.500 0.000 0.239
La: 0.000 0.500 0.761
Sb: 0.000 0.000 0.000
Pd: 0.000 0.000 0.500
Pd: 0.500 0.000 0.882
Sb: 0.000 0.500 0.356

***

Question: Which of these has the lowest uncorrected energy?
Answer: La2InSb4Pd3

***

Question: Which formula does entry 2 have?
Answer: La2InSb4Pd3

***

Question: Among the records above, which one has the highest total magnetic moment?
Answer: PuZn2Ge